1.
Density functional theory data (GGA-PBE) for crystalline Ce3Nd2ScS6 at its relaxed geometry.

```
data_Ce3Nd2ScS6
_cell_length_a 17.384
_cell_length_b 3.985
_cell_length_c 8.014
_cell_angle_alpha 90.00
_cell_angle_beta 103.25
_cell_angle_gamma 90.00
_symmetry_space_group_name_H-M 'C 1 2/m 1'
_symmetry_Int_Tables_number 12
loop_
_symmetry_equiv_pos_as_xyz
'x,y,z'
'-x,-y,-z'
'-x,y,-z'
'x,-y,z'
'x+1/2,y+1/2,z'
'-x+1/2,-y+1/2,-z'
'-x+1/2,y+1/2,-z'
'x+1/2,-y+1/2,z'
loop_
_atom_site_label
_atom_site_fract_x
_atom_site_fract_y
_atom_site_fract_z
Ce1 0.000 0.000 0.000
Ce2 0.169 0.500 0.335
Nd1 0.165 0.500 0.832
Sc1 0.000 0.000 0.500
S1 0.003 0.500 0.270
S2 0.158 0.000 0.577
S3 0.166 0.000 0.085
```

***

2.
Density functional theory data (GGA-PBE) for crystalline CeNdSc2S4 at its relaxed geometry.

```
data_CeNdSc2S4
_cell_length_a 6.634
_cell_length_b 3.820
_cell_length_c 6.830
_cell_angle_alpha 90.00
_cell_angle_beta 108.84
_cell_angle_gamma 90.00
_symmetry_space_group_name_H-M 'P 1 2/m 1'
_symmetry_Int_Tables_number 10
loop_
_symmetry_equiv_pos_as_xyz
'x,y,z'
'-x,-y,-z'
'-x,y,-z'
'x,-y,z'
loop_
_atom_site_label
_atom_site_fract_x
_atom_site_fract_y
_atom_site_fract_z
Ce1 0.000 0.000 0.000
Nd1 0.500 0.500 0.000
Sc1 0.000 0.500 0.500
Sc2 0.500 0.000 0.500
S1 0.238 0.000 0.721
S2 0.258 0.500 0.278
```

***

3.
Density functional theory data (GGA-PBE) for crystalline Ce3NdSm2S6 at its relaxed geometry.

```
data_Ce3NdSm2S6
_cell_length_a 6.973
_cell_length_b 12.084
_cell_length_c 6.989
_cell_angle_alpha 90.00
_cell_angle_beta 109.48
_cell_angle_gamma 90.00
_symmetry_space_group_name_H-M 'C 1 2/m 1'
_symmetry_Int_Tables_number 12
loop_
_symmetry_equiv_pos_as_xyz
'x,y,z'
'-x,-y,-z'
'-x,y,-z'
'x,-y,z'
'x+1/2,y+1/2,z'
'-x+1/2,-y+1/2,-z'
'-x+1/2,y+1/2,-z'
'x+1/2,-y+1/2,z'
loop_
_atom_site_label
_atom_site_fract_x
_atom_site_fract_y
_atom_site_fract_z
Ce1 0.000 0.000 0.000
Ce2 0.000 0.334 0.000
Nd1 0.000 0.500 0.500
Sm1 0.000 0.167 0.500
S1 0.247 0.000 0.749
S2 0.249 0.168 0.250
```

***

no.,total magnetization (μB per atom),E_form (uncorrected) (meV per atom)
1,0.221,-1984.9
2,0.093,-1936.8
3,0.212,-2039.9